Record 1
Entry from Alexandria: an optimized crystal structure of Tb2NdHoTm5 (GGA-PBE).

As for the formation energy: 0.285 eV per atom.

The space group is I4/mcm (No. 140) and the conventional cell measures 8.8216, 8.8216 and 14.6823 Å, with angles of 90.00, 90.00 and 90.00 degrees. Symmetry generates all atoms from Tb at (0.1135, 0.3865, 0.0000), Nd at (0.0000, 0.0000, 0.2500), Ho at (0.0000, 0.5000, 0.2500), Tm at (0.0000, 0.0000, 0.0000) and Tm at (0.2063, 0.2937, 0.3669).



Record 2
Entry from Alexandria: an optimized crystal structure of Sm2Ho2Se3S2 (GGA-PBE).

The calculation puts the uncorrected formation energy at -1539 meV per atom.

The space group is I4/mmm (No. 139) and the conventional cell measures 5.5936, 5.5936 and 14.3135 Å, with angles of 90.00, 90.00 and 90.00 degrees. Symmetry generates all atoms from Sm at (0.0000, 0.0000, 0.2116), Ho at (0.0000, 0.5000, 0.0000), Se at (0.0000, 0.0000, 0.0000), Se at (0.0000, 0.5000, 0.2500) and S at (0.0000, 0.0000, 0.4023).



Record 3
Entry from Alexandria: an optimized crystal structure of Ti2NbRe (GGA-PBE).

As for the formation energy: 0.382 eV per atom.

The space group is I-42d (No. 122) and the conventional cell measures 7.1546, 7.1546 and 5.4667 Å, with angles of 90.00, 90.00 and 90.00 degrees. Symmetry generates all atoms from Ti at (0.2269, 0.2500, 0.1250), Nb at (0.0000, 0.0000, 0.5000) and Re at (0.0000, 0.0000, 0.0000).